# BaCd2InHg8

Crystalline BaCd2InHg8 at its relaxed geometry (GGA-PBE, Alexandria).

Summary:
total magnetization	0.0	Bohr magnetons per cell
calculated total energy	-0.84	eV per atom

a b c (Å): 5.7201 5.7201 11.7601
angles (deg): 96.70 96.70 65.85
Closest atoms and distances in Å follow each position.
Positions (direct):
Hg: 0.3327 0.3327 0.9718  5 Hg 3.19-3.39, 3 In 3.26-3.49, 1 Cd 3.42
Hg: 0.6752 0.1660 0.2123  2 Cd 3.02-3.23, 4 Hg 3.05-3.25, 1 In 3.11
Hg: 0.6772 0.6772 0.5857  2 Hg 3.11, 1 Cd 3.12, 1 Ba 3.39
Hg: 0.8340 0.3248 0.7877  2 Cd 3.02-3.23, 4 Hg 3.05-3.25, 1 In 3.11
Hg: 0.3248 0.8340 0.7877  2 Cd 3.02-3.23, 4 Hg 3.05-3.25, 1 In 3.11
Hg: 0.3228 0.3228 0.4143  2 Hg 3.11, 1 Cd 3.12, 1 Ba 3.39
Hg: 0.1660 0.6752 0.2123  2 Cd 3.02-3.23, 4 Hg 3.05-3.25, 1 In 3.11
Hg: 0.6673 0.6673 0.0282  5 Hg 3.19-3.39, 3 In 3.26-3.49, 1 Cd 3.42
In: 0.0000 0.0000 0.0000  6 Hg 3.11-3.26
Cd: 0.6728 0.6728 0.3198  5 Hg 3.02-3.23
Cd: 0.3272 0.3272 0.6802  5 Hg 3.02-3.23
Ba: 0.0000 0.0000 0.5000  10 Hg 3.39-3.69, 2 Cd 3.54